Record 1
The following is a DFT calculation (PBE) of an optimized crystal structure of PtWSe2.

a = 6.846 Å, b = 6.846 Å, c = 6.846 Å
α = 154.56°, β = 140.49°, γ = 47.58°
Sites, in units of the cell vectors:
Pt (0.000, 0.000, 0.000)
W (0.500, 0.500, 0.000)
Se (0.339, 0.839, 0.500)
Se (0.661, 0.161, 0.500)

Output
E_tot: -6.372 eV/atom
E_form (uncorrected): 0.48 eV per formula unit
magnetization: 0.00 μB per cell
relative energy among the computed polymorphs: 183.0 meV/atom

***

Record 2
The following is a DFT calculation (PBE) of an optimized crystal structure of PtWSe.

a = 4.320 Å, b = 4.320 Å, c = 4.320 Å
α = 60.00°, β = 60.00°, γ = 60.00°
Sites, in units of the cell vectors:
Pt (0.000, 0.000, 0.000)
W (0.250, 0.250, 0.250)
Se (0.500, 0.500, 0.500)

Output
E_tot: -7.218 eV/atom
E_form (uncorrected): 0.83 eV per formula unit
magnetization: 0.48 μB per cell
relative energy among the computed polymorphs: 333.9 meV/atom

***

Record 3
The following is a DFT calculation (PBE) of an optimized crystal structure of PtWSe2.

a = 10.002 Å, b = 10.002 Å, c = 10.002 Å
α = 17.71°, β = 17.71°, γ = 17.71°
Sites, in units of the cell vectors:
Pt (0.000, 0.000, 0.000)
W (0.739, 0.739, 0.739)
Se (0.265, 0.265, 0.265)
Se (0.467, 0.467, 0.467)

Output
E_tot: -6.450 eV/atom
E_form (uncorrected): 0.16 eV per formula unit
magnetization: 0.00 μB per cell
relative energy among the computed polymorphs: 104.5 meV/atom